PBE+U SmTlMo2O8, relaxed; ρ = 5.74 g/cm³; M_tot = 0.00 μB per cell; final energy = -7.06 eV per atom
1.0
6.3685 0.0000 0.0000
0.0000 6.3685 0.0000
0.0000 0.0000 9.6300
Sm O Mo Tl
2 16 4 2
Direct
0.5000 0.5000 0.0000 Sm
0.0000 0.0000 0.5000 Sm
0.8018 0.6101 0.8616 O
0.3899 0.8018 0.8616 O
0.1101 0.6982 0.6384 O
0.6982 0.1101 0.3616 O
0.6101 0.8018 0.1384 O
0.3899 0.1982 0.1384 O
0.1982 0.3899 0.8616 O
0.3018 0.1101 0.6384 O
0.8899 0.3018 0.6384 O
0.8899 0.6982 0.3616 O
0.8018 0.3899 0.1384 O
0.6101 0.1982 0.8616 O
0.6982 0.8899 0.6384 O
0.1101 0.3018 0.3616 O
0.3018 0.8899 0.3616 O
0.1982 0.6101 0.1384 O
0.5000 0.0000 0.7500 Mo
0.0000 0.5000 0.2500 Mo
0.0000 0.5000 0.7500 Mo
0.5000 0.0000 0.2500 Mo
0.0000 0.0000 0.0000 Tl
0.5000 0.5000 0.5000 Tl